A relaxed Na2CaMnCl6 crystal. Source: Alexandria via LeMat-Bulk, functional GGA-PBE.

Lattice parameters (Å, degrees): 6.9028 6.9027 7.2946 61.76 61.75 59.98
Site moments in Bohr magnetons follow the coordinates.
Sites, in units of the cell vectors:
Cl: 0.1049 0.4349 0.7706  0.03
Cl: 0.9592 0.5805 0.2542  0.03
Cl: 0.2060 0.9592 0.2542  0.03
Cl: 0.5805 0.2061 0.2542  0.03
Cl: 0.6896 0.1049 0.7707  0.03
Cl: 0.4348 0.6896 0.7706  0.03
Mn: 0.3210 0.3210 0.0370  4.45
Na: 0.0223 0.0223 0.9333  0.00
Na: 0.5239 0.5239 0.4283  0.00
Ca: 0.8193 0.8193 0.5421  0.01

The raw formation energy is -1.752 eV/atom. The density of states at the Fermi level comes out at 0.00 states/eV/cell.


A relaxed NaCaMnCl5 crystal. Source: Alexandria via LeMat-Bulk, functional GGA-PBE.

Lattice parameters (Å, degrees): 7.2809 7.2809 9.8378 103.85 103.85 106.01
Site moments in Bohr magnetons follow the coordinates.
Sites, in units of the cell vectors:
Cl: 0.2829 0.3829 0.5653  0.05
Cl: 0.0635 0.6578 0.8578  0.04
Cl: 0.6578 0.0635 0.3578  0.04
Cl: 0.1008 0.8992 0.2500  0.00
Cl: 0.9365 0.3422 0.1422  0.04
Cl: 0.8992 0.1008 0.7500  0.00
Cl: 0.3422 0.9365 0.6422  0.04
Cl: 0.3829 0.2829 0.0653  0.05
Cl: 0.7171 0.6171 0.4347  0.05
Cl: 0.6171 0.7171 0.9347  0.05
Ca: 0.0000 0.0000 0.0000  0.01
Ca: 0.0000 0.0000 0.5000  0.01
Na: 0.3419 0.6580 0.2500  0.00
Na: 0.6580 0.3419 0.7500  0.00
Mn: 0.3213 0.6787 0.7500  4.36
Mn: 0.6787 0.3213 0.2500  4.36

The raw formation energy is -1.734 eV/atom. The density of states at the Fermi level comes out at 0.00 states/eV/cell.


A relaxed NaCaMnCl6 crystal. Source: Alexandria via LeMat-Bulk, functional GGA-PBE.

Lattice parameters (Å, degrees): 6.4292 6.4292 11.5916 90.00 90.00 90.00
Site moments in Bohr magnetons follow the coordinates.
Sites, in units of the cell vectors:
Cl: 0.2880 0.2880 0.3311  0.05
Cl: 0.8201 0.1799 0.1900  -0.01
Cl: 0.6799 0.6799 0.6900  -0.01
Cl: 0.1758 0.8242 0.4769  -0.01
Cl: 0.6758 0.6758 0.9769  -0.01
Cl: 0.3242 0.3242 0.9769  -0.01
Cl: 0.1799 0.8201 0.1900  -0.01
Cl: 0.2120 0.7880 0.8311  0.05
Cl: 0.8242 0.1758 0.4769  -0.01
Cl: 0.7880 0.2120 0.8311  0.05
Cl: 0.3201 0.3201 0.6900  -0.01
Cl: 0.7120 0.7120 0.3311  0.05
Na: 0.0000 0.0000 0.9970  0.00
Na: 0.5000 0.5000 0.4970  0.00
Mn: 0.0000 0.0000 0.3329  3.67
Mn: 0.5000 0.5000 0.8329  3.67
Ca: 0.0000 0.0000 0.6741  0.01
Ca: 0.5000 0.5000 0.1741  0.01

The raw formation energy is -1.582 eV/atom. The density of states at the Fermi level comes out at 0.38 states/eV/cell.